(1)
Entry from Alexandria via LeMat-Bulk: SrLa2Fe after structural relaxation (PBE).

DOS(E_F) ... 10.36 states/eV per cell
Space group ... Imm2, No. 44
Energy relative to the elements ... 0.30 eV/atom
Energy above the most stable polymorph in this dataset ... 0.64 eV/f.u.

Unit cell a=3.7106 b=5.6669 c=12.0973 alpha=90.00 beta=90.00 gamma=90.00
Fractional positions:
Sr (0.0000, 0.0000, 0.0000)
Sr (0.5000, 0.5000, 0.5000)
La (0.0000, 0.0000, 0.6381)
La (0.0000, 0.5000, 0.8125)
La (0.5000, 0.0000, 0.3125)
La (0.5000, 0.5000, 0.1381)
Fe (0.0000, 0.5000, 0.2818)
Fe (0.5000, 0.0000, 0.7818)

***

(2)
Entry from Alexandria via LeMat-Bulk: SrLa2Fe after structural relaxation (PBE).

DOS(E_F) ... 18.81 states/eV per cell
Space group ... I-42d, No. 122
Energy relative to the elements ... 0.25 eV/atom
Energy above the most stable polymorph in this dataset ... 0.43 eV/f.u.

Unit cell a=7.8795 b=7.8795 c=11.1425 alpha=90.00 beta=90.00 gamma=90.00
Fractional positions:
Sr (0.0000, 0.0000, 0.0000)
Sr (0.0000, 0.5000, 0.2500)
Sr (0.5000, 0.0000, 0.7500)
Sr (0.5000, 0.5000, 0.5000)
La (0.0010, 0.7500, 0.6250)
La (0.2500, 0.0010, 0.3750)
La (0.2500, 0.4990, 0.8750)
La (0.4990, 0.7500, 0.1250)
La (0.5010, 0.2500, 0.1250)
La (0.7500, 0.5010, 0.8750)
La (0.7500, 0.9990, 0.3750)
La (0.9990, 0.2500, 0.6250)
Fe (0.0000, 0.0000, 0.5000)
Fe (0.0000, 0.5000, 0.7500)
Fe (0.5000, 0.0000, 0.2500)
Fe (0.5000, 0.5000, 0.0000)

***

(3)
Entry from Alexandria via LeMat-Bulk: Sr2LaFe after structural relaxation (PBE).

DOS(E_F) ... 8.11 states/eV per cell
Space group ... P4/mmm, No. 123
Energy relative to the elements ... 0.51 eV/atom
Energy above the most stable polymorph in this dataset ... 0.91 eV/f.u.

Unit cell a=3.7137 b=3.7137 c=10.2443 alpha=90.00 beta=90.00 gamma=90.00
Fractional positions:
Sr (0.0000, 0.0000, 0.1900)
Sr (0.0000, 0.0000, 0.8100)
La (0.5000, 0.5000, 0.5000)
Fe (0.5000, 0.5000, 0.0000)

***

(4)
Entry from Alexandria via LeMat-Bulk: SrLaTa2Fe after structural relaxation (PBE).

DOS(E_F) ... 14.28 states/eV per cell
Space group ... P4/mmm, No. 123
Energy relative to the elements ... 2.48 eV/atom

Unit cell a=4.9888 b=4.9888 c=5.6390 alpha=90.00 beta=90.00 gamma=90.00
Fractional positions:
Sr (0.0000, 0.0000, 0.0000)
La (0.0000, 0.0000, 0.5000)
Ta (0.0000, 0.5000, 0.5000)
Ta (0.5000, 0.0000, 0.5000)
Fe (0.5000, 0.5000, 0.0000)

***

(5)
Entry from Alexandria via LeMat-Bulk: SrLa2FeTc after structural relaxation (PBE).

DOS(E_F) ... 13.60 states/eV per cell
Space group ... P4/mmm, No. 123
Energy relative to the elements ... 2.07 eV/atom

Unit cell a=5.7054 b=5.7054 c=4.6694 alpha=90.00 beta=90.00 gamma=90.00
Fractional positions:
Sr (0.0000, 0.0000, 0.0000)
La (0.0000, 0.5000, 0.0000)
La (0.5000, 0.0000, 0.0000)
Fe (0.5000, 0.5000, 0.5000)
Tc (0.0000, 0.0000, 0.5000)

***

(6)
Entry from Alexandria via LeMat-Bulk: LaTa2Fe after structural relaxation (PBE).

DOS(E_F) ... 25.95 states/eV per cell
Space group ... I4_1/amd, No. 141
Energy relative to the elements ... 1.04 eV/atom
Energy above the most stable polymorph in this dataset ... 3.29 eV/f.u.

Unit cell a=5.0716 b=5.0716 c=16.3836 alpha=90.00 beta=90.00 gamma=90.00
Fractional positions:
La (0.0000, 0.2500, 0.3750)
La (0.0000, 0.7500, 0.6250)
La (0.5000, 0.2500, 0.1250)
La (0.5000, 0.7500, 0.8750)
Ta (0.0000, 0.0000, 0.0000)
Ta (0.0000, 0.5000, 0.0000)
Ta (0.2500, 0.2500, 0.7500)
Ta (0.2500, 0.7500, 0.2500)
Ta (0.5000, 0.0000, 0.5000)
Ta (0.5000, 0.5000, 0.5000)
Ta (0.7500, 0.2500, 0.7500)
Ta (0.7500, 0.7500, 0.2500)
Fe (0.0000, 0.2500, 0.8750)
Fe (0.0000, 0.7500, 0.1250)
Fe (0.5000, 0.2500, 0.6250)
Fe (0.5000, 0.7500, 0.3750)